(1)
Here is a geometry-optimized RbZn2GaPd structure from Alexandria via LeMat-Bulk. Energies are from PBE-GGA.

D(E_F), states/eV per cell: 2.59
Excess energy over the best structure of this formula in the dataset, meV per atom: 431
Space-group type: No. 123
E, eV per atom: -2.0763

```
data_RbZn2GaPd
_cell_length_a 4.9478
_cell_length_b 6.0731
_cell_length_c 4.9478
_cell_angle_alpha 90.00
_cell_angle_beta 90.00
_cell_angle_gamma 90.00
_space_group_name_H-M_alt 'P 1'
_space_group_IT_number 1
loop_
_space_group_symop_operation_xyz
'x,y,z'
loop_
_atom_site_label
_atom_site_fract_x
_atom_site_fract_y
_atom_site_fract_z
Pd1 0.0000 0.0000 0.0000
Zn1 0.5000 0.0000 0.0000
Zn2 0.0000 0.0000 0.5000
Rb1 0.0000 0.5000 0.0000
Ga1 0.5000 0.5000 0.5000
```

(2)
Here is a geometry-optimized KRbHgBi2 structure from Alexandria via LeMat-Bulk. Energies are from PBE-GGA.

D(E_F), states/eV per cell: 2.20
Space-group type: No. 44
E, eV per atom: -2.2901

```
data_KRbHgBi2
_cell_length_a 4.6235
_cell_length_b 5.8626
_cell_length_c 8.5979
_cell_angle_alpha 109.93
_cell_angle_beta 105.60
_cell_angle_gamma 90.00
_space_group_name_H-M_alt 'P 1'
_space_group_IT_number 1
loop_
_space_group_symop_operation_xyz
'x,y,z'
loop_
_atom_site_label
_atom_site_fract_x
_atom_site_fract_y
_atom_site_fract_z
Hg1 0.8443 0.8443 0.6886
Bi1 0.6886 0.1886 0.3772
Bi2 0.0522 0.0522 0.1044
K1 0.1819 0.6819 0.3637
Rb1 0.4451 0.4451 0.8903
```

(3)
Here is a geometry-optimized Mg2BeIn structure from Alexandria via LeMat-Bulk. Energies are from PBE-GGA.

D(E_F), states/eV per cell: 1.27
Excess energy over the best structure of this formula in the dataset, meV per atom: 47
Space-group type: No. 123
E, eV per atom: -2.1934

```
data_Mg2BeIn
_cell_length_a 4.2587
_cell_length_b 4.2584
_cell_length_c 4.2023
_cell_angle_alpha 90.00
_cell_angle_beta 90.00
_cell_angle_gamma 90.00
_space_group_name_H-M_alt 'P 1'
_space_group_IT_number 1
loop_
_space_group_symop_operation_xyz
'x,y,z'
loop_
_atom_site_label
_atom_site_fract_x
_atom_site_fract_y
_atom_site_fract_z
Mg1 0.0000 0.0000 0.0000
Mg2 0.5000 0.5000 0.0000
In1 0.0000 0.5000 0.5000
Be1 0.5000 0.0000 0.5000
```

(4)
Here is a geometry-optimized SnGe2Pd8 structure from Alexandria via LeMat-Bulk. Energies are from PBE-GGA.

D(E_F), states/eV per cell: 5.25
Excess energy over the best structure of this formula in the dataset, meV per atom: 0
Space-group type: No. 12
E, eV per atom: -5.4407

```
data_SnGe2Pd8
_cell_length_a 4.0847
_cell_length_b 6.3755
_cell_length_c 7.5615
_cell_angle_alpha 111.10
_cell_angle_beta 105.67
_cell_angle_gamma 90.00
_space_group_name_H-M_alt 'P 1'
_space_group_IT_number 1
loop_
_space_group_symop_operation_xyz
'x,y,z'
loop_
_atom_site_label
_atom_site_fract_x
_atom_site_fract_y
_atom_site_fract_z
Sn1 0.5000 0.0000 0.0000
Pd1 0.4030 0.5297 0.8060
Pd2 0.9667 0.2480 0.9334
Pd3 0.8183 0.7247 0.6366
Pd4 0.6763 0.9454 0.3526
Pd5 0.3237 0.0546 0.6474
Pd6 0.1817 0.2753 0.3634
Pd7 0.5970 0.4703 0.1940
Pd8 0.0333 0.7520 0.0666
Ge1 0.1906 0.6775 0.3813
Ge2 0.8094 0.3225 0.6187
```

(5)
Here is a geometry-optimized TbCeTiIn structure from Alexandria via LeMat-Bulk. Energies are from PBE-GGA.

D(E_F), states/eV per cell: 6.67
Space-group type: No. 216
E, eV per atom: -5.3390

```
data_TbCeTiIn
_cell_length_a 5.3031
_cell_length_b 5.3031
_cell_length_c 5.3031
_cell_angle_alpha 60.00
_cell_angle_beta 60.00
_cell_angle_gamma 60.00
_space_group_name_H-M_alt 'P 1'
_space_group_IT_number 1
loop_
_space_group_symop_operation_xyz
'x,y,z'
loop_
_atom_site_label
_atom_site_fract_x
_atom_site_fract_y
_atom_site_fract_z
In1 0.7500 0.7500 0.7500
Tb1 0.5000 0.5000 0.5000
Ce1 0.0000 0.0000 0.0000
Ti1 0.2500 0.2500 0.2500
```

(6)
Here is a geometry-optimized LaBe2AlTl structure from Alexandria via LeMat-Bulk. Energies are from PBE-GGA.

D(E_F), states/eV per cell: 2.38
Space-group type: No. 123
E, eV per atom: -3.2556

```
data_LaBe2AlTl
_cell_length_a 4.5866
_cell_length_b 5.2775
_cell_length_c 4.5866
_cell_angle_alpha 90.00
_cell_angle_beta 90.00
_cell_angle_gamma 90.00
_space_group_name_H-M_alt 'P 1'
_space_group_IT_number 1
loop_
_space_group_symop_operation_xyz
'x,y,z'
loop_
_atom_site_label
_atom_site_fract_x
_atom_site_fract_y
_atom_site_fract_z
Be1 0.0000 0.0000 0.5000
Be2 0.5000 0.0000 0.0000
Tl1 0.0000 0.5000 0.0000
La1 0.5000 0.5000 0.5000
Al1 0.0000 0.0000 0.0000
```